[1]
Computed, not measured: a relaxed LiCrP4O12 crystal at the GGA+U level of DFT.

The structure in POSCAR format:
```
LiCrP4O12
1.0
4.512 -5.691 0.000
4.512 5.691 0.000
0.000 0.000 18.748
Li Cr P O
4 4 16 48
Direct
0.140 0.340 0.350
0.340 0.140 0.650
0.660 0.860 0.150
0.860 0.660 0.850
0.085 0.476 0.615
0.476 0.085 0.385
0.524 0.915 0.885
0.915 0.524 0.115
0.094 0.765 0.365
0.213 0.295 0.189
0.230 0.713 0.999
0.235 0.906 0.135
0.287 0.770 0.501
0.295 0.213 0.811
0.398 0.602 0.750
0.400 0.400 0.500
0.600 0.600 0.000
0.602 0.398 0.250
0.705 0.787 0.311
0.713 0.230 0.001
0.765 0.094 0.635
0.770 0.287 0.499
0.787 0.705 0.689
0.906 0.235 0.865
0.040 0.590 0.017
0.042 0.780 0.150
0.105 0.733 0.452
0.120 0.215 0.864
0.122 0.591 0.329
0.133 0.231 0.260
0.133 0.429 0.143
0.215 0.120 0.136
0.218 0.554 0.707
0.220 0.958 0.350
0.224 0.735 0.577
0.231 0.133 0.740
0.265 0.776 0.923
0.267 0.895 0.048
0.289 0.346 0.569
0.346 0.289 0.431
0.386 0.595 0.021
0.402 0.436 0.806
0.405 0.614 0.479
0.409 0.878 0.171
0.410 0.960 0.483
0.429 0.133 0.857
0.436 0.402 0.194
0.446 0.782 0.793
0.554 0.218 0.293
0.564 0.598 0.694
0.571 0.867 0.357
0.590 0.040 0.983
0.591 0.122 0.671
0.595 0.386 0.979
0.598 0.564 0.306
0.614 0.405 0.521
0.654 0.711 0.931
0.711 0.654 0.069
0.733 0.105 0.548
0.735 0.224 0.423
0.769 0.867 0.240
0.776 0.265 0.077
0.780 0.042 0.850
0.782 0.446 0.207
0.785 0.880 0.636
0.867 0.571 0.643
0.867 0.769 0.760
0.878 0.409 0.829
0.880 0.785 0.364
0.895 0.267 0.952
0.958 0.220 0.650
0.960 0.410 0.517
```

Output
VASP energy = -7.16 eV per atom
density = 2.59 g cm⁻³
DOS(E_F) = 0.0 states/eV per cell



[2]
Computed, not measured: a relaxed Li2Cr5P4O16 crystal at the GGA+U level of DFT.

The structure in POSCAR format:
```
Li2Cr5P4O16
1.0
5.396 0.000 0.000
1.587 8.048 0.000
0.824 3.956 7.908
Li Cr P O
2 5 4 16
Direct
0.157 0.236 0.311
0.843 0.764 0.689
0.215 0.040 0.716
0.316 0.720 0.221
0.500 0.500 0.000
0.684 0.280 0.779
0.785 0.960 0.284
0.160 0.188 0.006
0.382 0.716 0.588
0.618 0.284 0.412
0.840 0.812 0.994
0.105 0.694 0.048
0.124 0.991 0.151
0.177 0.836 0.649
0.260 0.665 0.471
0.309 0.168 0.855
0.314 0.271 0.087
0.390 0.183 0.492
0.489 0.536 0.752
0.511 0.464 0.248
0.610 0.817 0.508
0.686 0.729 0.913
0.691 0.832 0.145
0.740 0.335 0.529
0.823 0.164 0.351
0.876 0.009 0.849
0.895 0.306 0.952
```

Output
VASP energy = -7.38 eV per atom
density = 3.16 g cm⁻³
DOS(E_F) = 0.0 states/eV per cell



[3]
Computed, not measured: a relaxed LiCrP4O12 crystal at the GGA+U level of DFT.

The structure in POSCAR format:
```
LiCrP4O12
1.0
6.892 0.000 0.000
0.000 8.720 0.000
-0.968 0.000 7.101
Li Cr P O
2 2 8 24
Direct
0.205 0.000 0.341
0.795 0.500 0.659
0.231 0.732 0.752
0.769 0.232 0.248
0.073 0.530 0.383
0.087 0.181 0.969
0.434 0.389 0.932
0.448 0.686 0.398
0.552 0.186 0.602
0.566 0.889 0.068
0.913 0.681 0.031
0.927 0.030 0.617
0.000 0.372 0.331
0.000 0.872 0.669
0.055 0.154 0.743
0.066 0.571 0.589
0.114 0.725 0.987
0.188 0.055 0.081
0.218 0.333 0.963
0.291 0.548 0.330
0.328 0.796 0.504
0.368 0.122 0.506
0.405 0.544 0.839
0.435 0.876 0.882
0.483 0.768 0.206
0.517 0.268 0.794
0.565 0.376 0.118
0.595 0.044 0.161
0.632 0.622 0.494
0.672 0.296 0.496
0.709 0.048 0.670
0.782 0.833 0.037
0.812 0.555 0.919
0.886 0.225 0.013
0.934 0.071 0.411
0.945 0.654 0.257
```

Output
VASP energy = -7.14 eV per atom
density = 2.92 g cm⁻³
DOS(E_F) = 0.0 states/eV per cell



[4]
Computed, not measured: a relaxed LiCrP2O7 crystal at the GGA+U level of DFT.

The structure in POSCAR format:
```
LiCrP2O7
1.0
7.020 0.000 0.000
0.000 8.271 0.000
-3.440 0.000 9.062
Li Cr P O
4 4 8 28
Direct
0.172 0.137 0.251
0.172 0.363 0.751
0.828 0.637 0.249
0.828 0.863 0.749
0.225 0.002 0.751
0.225 0.498 0.251
0.775 0.502 0.749
0.775 0.998 0.249
0.199 0.684 0.943
0.199 0.816 0.443
0.394 0.217 0.060
0.394 0.283 0.560
0.606 0.717 0.440
0.606 0.783 0.940
0.801 0.184 0.557
0.801 0.316 0.057
0.081 0.547 0.840
0.081 0.953 0.340
0.126 0.649 0.376
0.126 0.851 0.876
0.204 0.670 0.100
0.204 0.830 0.600
0.259 0.183 0.899
0.259 0.317 0.399
0.271 0.189 0.634
0.271 0.311 0.134
0.428 0.661 0.943
0.428 0.839 0.443
0.485 0.064 0.147
0.485 0.436 0.647
0.515 0.564 0.353
0.515 0.936 0.853
0.572 0.161 0.557
0.572 0.339 0.057
0.729 0.689 0.866
0.729 0.811 0.366
0.741 0.683 0.601
0.741 0.817 0.101
0.796 0.170 0.400
0.796 0.330 0.900
0.874 0.149 0.124
0.874 0.351 0.624
0.919 0.047 0.660
0.919 0.453 0.160
```

Output
VASP energy = -7.22 eV per atom
density = 2.94 g cm⁻³
DOS(E_F) = 0.0 states/eV per cell



[5]
Computed, not measured: a relaxed LiCrP4O12 crystal at the GGA+U level of DFT.

The structure in POSCAR format:
```
LiCrP4O12
1.0
7.678 -3.672 0.000
7.678 3.672 0.000
-5.064 0.000 8.267
Li Cr P O
2 2 8 24
Direct
0.193 0.807 0.750
0.807 0.193 0.250
0.365 0.635 0.250
0.635 0.365 0.750
0.052 0.210 0.640
0.200 0.530 0.844
0.210 0.052 0.140
0.470 0.800 0.656
0.530 0.200 0.344
0.790 0.948 0.860
0.800 0.470 0.156
0.948 0.790 0.360
0.007 0.260 0.202
0.009 0.826 0.537
0.101 0.711 0.272
0.144 0.359 0.719
0.174 0.991 0.963
0.253 0.527 0.014
0.260 0.007 0.702
0.289 0.899 0.228
0.356 0.509 0.792
0.359 0.144 0.219
0.473 0.747 0.486
0.491 0.644 0.708
0.509 0.356 0.292
0.527 0.253 0.514
0.641 0.856 0.781
0.644 0.491 0.208
0.711 0.101 0.772
0.740 0.993 0.298
0.747 0.473 0.986
0.826 0.009 0.037
0.856 0.641 0.281
0.899 0.289 0.728
0.991 0.174 0.463
0.993 0.740 0.798
```

Output
VASP energy = -7.16 eV per atom
density = 2.67 g cm⁻³
DOS(E_F) = 0.0 states/eV per cell



[6]
Computed, not measured: a relaxed LiCrP4O12 crystal at the GGA+U level of DFT.

The structure in POSCAR format:
```
LiCrP4O12
1.0
5.988 -4.177 0.000
5.988 4.177 0.000
-4.560 0.000 8.779
Li Cr P O
2 2 8 24
Direct
0.038 0.962 0.750
0.962 0.038 0.250
0.000 0.500 0.500
0.500 0.000 0.000
0.260 0.733 0.028
0.267 0.740 0.472
0.303 0.321 0.805
0.321 0.303 0.305
0.679 0.697 0.695
0.697 0.679 0.195
0.733 0.260 0.528
0.740 0.267 0.972
0.093 0.855 0.096
0.131 0.301 0.334
0.145 0.907 0.404
0.190 0.342 0.649
0.192 0.682 0.571
0.214 0.512 0.930
0.301 0.131 0.834
0.318 0.808 0.929
0.329 0.533 0.341
0.342 0.190 0.149
0.467 0.671 0.159
0.488 0.786 0.570
0.512 0.214 0.430
0.533 0.329 0.841
0.658 0.810 0.851
0.671 0.467 0.659
0.682 0.192 0.071
0.699 0.869 0.166
0.786 0.488 0.070
0.808 0.318 0.429
0.810 0.658 0.351
0.855 0.093 0.596
0.869 0.699 0.666
0.907 0.145 0.904
```

Output
VASP energy = -7.19 eV per atom
density = 2.83 g cm⁻³
DOS(E_F) = 0.0 states/eV per cell



[7]
Computed, not measured: a relaxed LiCrP2O7 crystal at the GGA+U level of DFT.

The structure in POSCAR format:
```
LiCrP2O7
1.0
7.005 0.000 0.000
0.000 8.512 0.000
-3.389 0.000 8.497
Li Cr P O
4 4 8 28
Direct
0.190 0.082 0.091
0.190 0.418 0.591
0.810 0.582 0.409
0.810 0.918 0.909
0.305 0.063 0.686
0.305 0.437 0.186
0.695 0.563 0.814
0.695 0.937 0.314
0.072 0.731 0.746
0.072 0.769 0.246
0.478 0.716 0.036
0.478 0.784 0.536
0.522 0.216 0.464
0.522 0.284 0.964
0.928 0.231 0.754
0.928 0.269 0.254
0.056 0.611 0.623
0.056 0.889 0.123
0.117 0.234 0.705
0.117 0.266 0.205
0.123 0.602 0.207
0.123 0.898 0.707
0.253 0.683 0.912
0.253 0.817 0.412
0.370 0.218 0.550
0.370 0.282 0.050
0.482 0.622 0.612
0.482 0.878 0.112
0.490 0.082 0.344
0.490 0.418 0.844
0.510 0.582 0.156
0.510 0.918 0.656
0.518 0.122 0.888
0.518 0.378 0.388
0.630 0.718 0.950
0.630 0.782 0.450
0.747 0.183 0.588
0.747 0.317 0.088
0.877 0.102 0.293
0.877 0.398 0.793
0.883 0.734 0.795
0.883 0.766 0.295
0.944 0.111 0.877
0.944 0.389 0.377
```

Output
VASP energy = -7.15 eV per atom
density = 3.05 g cm⁻³
DOS(E_F) = 0.0 states/eV per cell



[8]
Computed, not measured: a relaxed LiCrP2O7 crystal at the GGA+U level of DFT.

The structure in POSCAR format:
```
LiCrP2O7
1.0
7.743 -2.464 0.000
7.743 2.464 0.000
-3.465 0.000 8.085
Li Cr P O
2 2 4 14
Direct
0.201 0.799 0.500
0.799 0.201 0.000
0.059 0.366 0.134
0.366 0.059 0.634
0.434 0.772 0.247
0.655 0.963 0.380
0.772 0.434 0.747
0.963 0.655 0.880
0.037 0.566 0.041
0.053 0.172 0.667
0.172 0.053 0.167
0.206 0.404 0.770
0.395 0.827 0.426
0.404 0.206 0.270
0.521 0.523 0.646
0.523 0.521 0.146
0.566 0.037 0.541
0.696 0.710 0.770
0.710 0.696 0.270
0.827 0.395 0.926
0.832 0.931 0.891
0.931 0.832 0.391
```

Output
VASP energy = -7.08 eV per atom
density = 2.51 g cm⁻³
DOS(E_F) = 0.0 states/eV per cell



[9]
Computed, not measured: a relaxed LiCrP4O12 crystal at the GGA+U level of DFT.

The structure in POSCAR format:
```
LiCrP4O12
1.0
7.718 0.000 0.000
0.000 12.900 0.000
-7.561 0.000 9.401
Li Cr P O
4 4 16 48
Direct
0.220 0.212 0.015
0.220 0.288 0.515
0.780 0.712 0.485
0.780 0.788 0.985
0.386 0.736 0.501
0.386 0.764 0.001
0.614 0.236 0.999
0.614 0.264 0.499
0.082 0.156 0.279
0.082 0.344 0.779
0.186 0.568 0.756
0.186 0.932 0.256
0.294 0.640 0.219
0.294 0.860 0.719
0.427 0.081 0.741
0.427 0.419 0.241
0.573 0.581 0.759
0.573 0.919 0.259
0.706 0.140 0.281
0.706 0.360 0.781
0.814 0.068 0.744
0.814 0.432 0.244
0.918 0.656 0.221
0.918 0.844 0.721
0.011 0.103 0.887
0.011 0.397 0.387
0.047 0.672 0.157
0.047 0.828 0.657
0.071 0.683 0.378
0.071 0.817 0.878
0.136 0.037 0.305
0.136 0.463 0.805
0.266 0.519 0.193
0.266 0.981 0.693
0.289 0.220 0.375
0.289 0.280 0.875
0.291 0.638 0.883
0.291 0.862 0.383
0.306 0.161 0.630
0.306 0.339 0.130
0.342 0.692 0.131
0.342 0.808 0.631
0.379 0.524 0.753
0.379 0.976 0.253
0.451 0.664 0.378
0.451 0.836 0.878
0.478 0.605 0.608
0.478 0.895 0.108
0.522 0.105 0.892
0.522 0.395 0.392
0.549 0.164 0.122
0.549 0.336 0.622
0.621 0.024 0.747
0.621 0.476 0.247
0.658 0.192 0.369
0.658 0.308 0.869
0.694 0.661 0.870
0.694 0.839 0.370
0.709 0.138 0.617
0.709 0.362 0.117
0.711 0.720 0.125
0.711 0.780 0.625
0.734 0.019 0.307
0.734 0.481 0.807
0.864 0.537 0.195
0.864 0.963 0.695
0.929 0.183 0.122
0.929 0.317 0.622
0.953 0.172 0.343
0.953 0.328 0.843
0.989 0.603 0.613
0.989 0.897 0.113
```

Output
VASP energy = -7.17 eV per atom
density = 2.66 g cm⁻³
DOS(E_F) = 0.0 states/eV per cell



> Which value of VASP energy does entry 7 give?

-7.15 eV per atom



> Which of these has the highest density?

Li2Cr5P4O16



> Which value of VASP energy does entry 5 give?

-7.16 eV per atom